{"formula": "BaSmEuMnO6", "functional": "PBE+U", "state": "relaxed", "sg": "F-43m (216)", "e_tot_ev_per_cell": -78.11, "mass_density_g_cm3": 6.754, "cell": [[0.000, 4.172, 4.172], [4.172, 0.000, 4.172], [4.172, 4.172, 0.000]], "species": ["Ba", "Sm", "Eu", "Mn", "O", "O", "O", "O", "O", "O"], "frac_coords": [[0.250, 0.250, 0.250], [0.500, 0.500, 0.500], [0.750, 0.750, 0.750], [0.000, 0.000, 0.000], [0.230, 0.770, 0.230], [0.770, 0.230, 0.770], [0.230, 0.770, 0.770], [0.770, 0.230, 0.230], [0.230, 0.230, 0.770], [0.770, 0.770, 0.230]]}